Entry from the Alexandria database: TbPmDy2 after structural relaxation (PBE-GGA).

Values from the calculation:
* density of states at the Fermi level: 9.3 states/eV/f.u.
* raw total energy: -18.032 eV/cell
* SG: No. 225
* DFT formation energy: 0.1383 eV/atom

Cell: 5.694 5.694 5.694 Å, 60.00 60.00 60.00°
Fractional positions:
Tb 0.000 0.000 0.000
Pm 0.500 0.500 0.500
Dy 0.750 0.750 0.750
Dy 0.250 0.250 0.250

=====

Entry from the Alexandria database: Tb8Pm5Dy after structural relaxation (PBE-GGA).

Values from the calculation:
* density of states at the Fermi level: 19.6 states/eV/f.u.
* raw total energy: -62.002 eV/cell
* SG: No. 82
* DFT formation energy: 0.2425 eV/atom

Cell: 8.492 8.492 8.492 Å, 110.89 106.66 110.90°
Fractional positions:
Pm 0.500 0.000 0.500
Tb 0.079 0.745 0.475
Tb 0.924 0.092 0.661
Dy 0.250 0.500 0.750
Tb 0.666 0.396 0.921
Tb 0.730 0.255 0.334
Pm 0.032 0.322 0.135
Tb 0.525 0.604 0.270
Tb 0.569 0.908 0.833
Pm 0.290 0.103 0.968
Pm 0.813 0.678 0.710
Pm 0.865 0.897 0.187
Tb 0.339 0.263 0.431
Tb 0.167 0.737 0.076

=====

Entry from the Alexandria database: Tb3Pm8Dy2 after structural relaxation (PBE-GGA).

Values from the calculation:
* density of states at the Fermi level: 18.0 states/eV/f.u.
* raw total energy: -60.911 eV/cell
* SG: No. 2
* DFT formation energy: 0.0145 eV/atom

Cell: 11.986 6.262 9.554 Å, 139.80 106.47 69.63°
Fractional positions:
Pm 0.730 0.462 0.384
Tb 0.039 0.078 0.231
Pm 0.270 0.538 0.616
Tb 0.961 0.922 0.769
Tb 0.500 0.000 0.000
Pm 0.193 0.383 0.153
Pm 0.116 0.230 0.692
Pm 0.347 0.693 0.079
Pm 0.653 0.307 0.921
Dy 0.576 0.154 0.461
Pm 0.807 0.617 0.847
Pm 0.884 0.770 0.308
Dy 0.424 0.846 0.539

=====

Entry from the Alexandria database: Tb2PmDy after structural relaxation (PBE-GGA).

Values from the calculation:
* density of states at the Fermi level: 10.1 states/eV/f.u.
* raw total energy: -18.036 eV/cell
* SG: No. 225
* DFT formation energy: 0.1444 eV/atom

Cell: 5.702 5.702 5.702 Å, 60.00 60.00 60.00°
Fractional positions:
Dy 0.000 0.000 0.000
Pm 0.500 0.500 0.500
Tb 0.750 0.750 0.750
Tb 0.250 0.250 0.250

=====

Entry from the Alexandria database: Tb4Pm2Dy after structural relaxation (PBE-GGA).

Values from the calculation:
* density of states at the Fermi level: 11.8 states/eV/f.u.
* raw total energy: -63.397 eV/cell
* SG: No. 11
* DFT formation energy: 0.1322 eV/atom

Cell: 6.108 6.629 11.652 Å, 90.00 104.32 90.00°
Fractional positions:
Dy 0.151 0.750 0.152
Tb 0.644 0.503 0.288
Tb 0.009 0.750 0.848
Pm 0.291 0.250 0.436
Tb 0.991 0.250 0.152
Tb 0.147 0.750 0.439
Tb 0.356 0.003 0.712
Tb 0.644 0.997 0.288
Pm 0.400 0.250 0.002
Tb 0.853 0.250 0.561
Dy 0.849 0.250 0.848
Tb 0.356 0.497 0.712
Pm 0.600 0.750 0.998
Pm 0.709 0.750 0.564

=====

Entry from the Alexandria database: Tb6Pm3Dy after structural relaxation (PBE-GGA).

Values from the calculation:
* density of states at the Fermi level: 13.5 states/eV/f.u.
* raw total energy: -90.336 eV/cell
* SG: No. 36
* DFT formation energy: 0.1467 eV/atom

Cell: 6.364 10.950 10.950 Å, 120.01 90.00 90.00°
Fractional positions:
Tb 0.150 0.727 0.273
Pm 0.572 0.613 0.387
Pm 0.962 0.711 0.939
Tb 0.050 0.712 0.623
Dy 0.128 0.195 0.805
Pm 0.462 0.939 0.711
Tb 0.870 0.948 0.529
Tb 0.550 0.288 0.377
Tb 0.372 0.961 0.039
Tb 0.370 0.052 0.471
Tb 0.872 0.039 0.961
Tb 0.050 0.377 0.288
Pm 0.462 0.289 0.061
Dy 0.628 0.805 0.195
Tb 0.370 0.529 0.948
Pm 0.962 0.061 0.289
Tb 0.650 0.273 0.727
Tb 0.870 0.471 0.052
Tb 0.550 0.623 0.712
Pm 0.072 0.387 0.613

=====

> The lowest raw total energy belongs to which entry?

Tb6Pm3Dy